No. 1
Be3PIr | GGA-PBE | optimized geometry

Energy above the lowest structure with this stoichiometry = 0.42 kcal/mol of atoms
ρ = 6.5 Mg/m³
Energy of formation from the pure elements = 0.651 eV/atom
Space-group type = Pm-3m

POSCAR file:
```
Be3PIr
1.0
-1.358 2.780 2.521
2.035 -1.706 2.978
3.152 2.299 -0.837
P Ir Be
1 1 3
Cartesian
0.000 0.000 0.000 P
1.915 1.686 2.331 Ir
1.018 -0.853 1.489 Be
1.576 1.150 -0.418 Be
-0.679 1.390 1.260 Be
```

***

No. 2
Be3PIr | GGA-PBE | optimized geometry

Energy above the lowest structure with this stoichiometry = 0.00 kcal/mol of atoms
ρ = 5.6 Mg/m³
Energy of formation from the pure elements = 0.633 eV/atom
Space-group type = Pm-3m

POSCAR file:
```
Be3PIr
1.0
4.213 0.000 0.000
0.000 4.213 0.000
0.000 0.000 4.213
P Ir Be
1 1 3
Cartesian
2.107 2.107 2.107 P
0.000 0.000 0.000 Ir
0.000 2.107 0.000 Be
0.000 0.000 2.107 Be
2.107 0.000 0.000 Be
```

***

No. 3
BePIr2 | GGA-PBE | optimized geometry

Energy above the lowest structure with this stoichiometry = 4.26 kcal/mol of atoms
ρ = 13.8 Mg/m³
Energy of formation from the pure elements = -0.175 eV/atom
Space-group type = R-3m

POSCAR file:
```
BePIr2
1.0
7.460 -0.018 -0.010
6.922 2.781 -0.010
6.922 1.330 2.442
P Ir Be
1 2 1
Cartesian
5.326 1.023 0.605 P
0.003 0.001 0.000 Ir
10.649 2.046 1.210 Ir
15.978 3.070 1.816 Be
```

***

No. 4
BeP2Ir | GGA-PBE | optimized geometry

ρ = 8.5 Mg/m³
Energy of formation from the pure elements = 0.180 eV/atom
Space-group type = Cmmm

POSCAR file:
```
BeP2Ir
1.0
4.232 0.009 0.000
-1.372 4.003 0.000
0.000 0.000 3.047
P Ir Be
2 1 1
Cartesian
0.000 0.000 0.000 P
1.430 2.006 0.000 P
-0.686 2.002 1.523 Ir
2.116 0.005 1.523 Be
```

***

No. 5
BeP3Ir | GGA-PBE | optimized geometry

Energy above the lowest structure with this stoichiometry = 7.61 kcal/mol of atoms
ρ = 4.9 Mg/m³
Energy of formation from the pure elements = 1.145 eV/atom
Space-group type = Pm-3m

POSCAR file:
```
BeP3Ir
1.0
4.633 0.000 0.000
0.000 4.633 0.000
0.000 0.000 4.633
P Ir Be
3 1 1
Cartesian
0.000 2.316 0.000 P
0.000 0.000 2.316 P
2.316 0.000 0.000 P
0.000 0.000 0.000 Ir
2.316 2.316 2.316 Be
```

***

No. 6
BeP2Ir | GGA-PBE | optimized geometry

ρ = 6.1 Mg/m³
Energy of formation from the pure elements = -0.017 eV/atom
Space-group type = P2/m

POSCAR file:
```
BeP2Ir
1.0
-3.312 1.763 0.488
-1.419 -1.413 -4.523
-2.312 -4.034 -1.115
P Ir Be
2 1 1
Cartesian
-1.142 -1.146 -3.607 P
-2.143 -2.990 -3.735 P
-4.455 -3.204 -3.985 Ir
-2.589 -0.480 -1.165 Be
```

***

No. 7
BeP2Ir | GGA-PBE | optimized geometry

ρ = 8.5 Mg/m³
Energy of formation from the pure elements = 0.337 eV/atom
Space-group type = Pmmm

POSCAR file:
```
BeP2Ir
1.0
2.975 0.000 0.000
0.000 3.901 0.000
0.000 0.000 4.430
P Ir Be
2 1 1
Cartesian
0.000 0.000 0.000 P
1.488 1.950 0.000 P
0.000 1.950 2.215 Ir
1.488 0.000 2.215 Be
```

***

No. 8
BeP2Ir | GGA-PBE | optimized geometry

ρ = 8.5 Mg/m³
Energy of formation from the pure elements = 0.095 eV/atom
Space-group type = R-3m

POSCAR file:
```
BeP2Ir
1.0
7.006 0.036 0.021
6.364 2.929 0.021
6.364 1.411 2.566
P Ir Be
2 1 1
Cartesian
19.605 4.347 2.592 P
9.998 2.217 1.322 P
14.801 3.282 1.957 Ir
4.934 1.094 0.652 Be
```

***

No. 9
BePIr2 | GGA-PBE | optimized geometry

Energy above the lowest structure with this stoichiometry = 3.08 kcal/mol of atoms
ρ = 14.4 Mg/m³
Energy of formation from the pure elements = -0.226 eV/atom
Space-group type = Fm-3m

POSCAR file:
```
BePIr2
1.0
-3.735 -0.350 1.680
-3.340 0.948 -2.200
-2.547 -2.972 -1.253
P Ir Be
1 2 1
Cartesian
-4.811 -1.187 -0.887 P
-2.406 -0.593 -0.443 Ir
-7.217 -1.780 -1.330 Ir
0.000 0.000 0.000 Be
```

***

No. 10
BeP2Ir | GGA-PBE | optimized geometry

ρ = 6.9 Mg/m³
Energy of formation from the pure elements = -0.137 eV/atom
Space-group type = Cm

POSCAR file:
```
BeP2Ir
1.0
-2.342 3.431 0.127
-4.023 0.336 0.989
2.680 -0.281 4.217
P Ir Be
2 1 1
Cartesian
1.576 0.216 3.850 P
-0.124 0.510 1.590 P
-3.102 2.683 3.585 Ir
-1.199 1.540 3.191 Be
```

***

No. 11
BePIr2 | GGA-PBE | optimized geometry

Energy above the lowest structure with this stoichiometry = 1.12 kcal/mol of atoms
ρ = 13.9 Mg/m³
Energy of formation from the pure elements = -0.311 eV/atom
Space-group type = P4mm

POSCAR file:
```
BePIr2
1.0
3.035 0.000 0.000
0.000 3.035 0.000
0.000 0.000 5.489
P Ir Be
1 2 1
Cartesian
0.000 0.000 2.772 P
0.000 0.000 5.084 Ir
1.517 1.517 1.718 Ir
1.517 1.517 4.150 Be
```

***

No. 12
BePIrPd2 | GGA-PBE | optimized geometry

ρ = 7.7 Mg/m³
Energy of formation from the pure elements = 1.119 eV/atom
Space-group type = P4/mmm

POSCAR file:
```
BePIrPd2
1.0
4.896 0.000 0.000
0.000 4.011 0.000
0.000 0.000 4.896
P Ir Pd Be
1 1 2 1
Cartesian
2.448 2.006 2.448 P
0.000 0.000 0.000 Ir
0.000 0.000 2.448 Pd
2.448 0.000 0.000 Pd
0.000 2.006 0.000 Be
```

***

Q: The highest ρ belongs to which entry?
A: number 9

***

Q: Which value of energy of formation from the pure elements does entry 7 give?
A: 0.337 eV/atom

***

Q: Which of these has the highest energy of formation from the pure elements?
A: BeP3Ir

***

Q: Look up the energy of formation from the pure elements of the twelfth one.
A: 1.119 eV/atom